A plane-wave DFT calculation with PBE+U was carried out for NiP2CO after structural relaxation.

As for the size of the total moment: 0.00 μB/f.u. The polymorph energy (0 for the lowest one) comes out at 0.000 eV per atom. As for the symmetry: P4/mmm, No. 123.

Cell: 4.148 3.078 4.148 Å, 90.00 90.00 90.00°
Positions (direct):
1 P 0.500 0.000 0.000
2 P 0.000 0.000 0.500
3 O 0.000 0.500 0.000
4 Ni 0.500 0.500 0.500
5 C 0.000 0.000 0.000